{
  "formula": "RbLiNd2Te4",
  "functional": "PBE",
  "state": "optimized geometry",
  "lattice": [[-2.448, -1.451, 3.627], [5.981, -5.328, -1.025], [9.369, 8.637, 9.779]],
  "species": ["Rb", "Rb", "Te", "Te", "Te", "Te", "Te", "Te", "Te", "Te", "Nd", "Nd", "Nd", "Nd", "Li", "Li"],
  "frac_coords": [[0.111, 0.221, 0.750], [0.889, 0.779, 0.250], [0.430, 0.860, 0.750], [0.735, 0.470, 0.610], [0.735, 0.470, 0.890], [0.000, 0.000, 0.000], [0.570, 0.140, 0.250], [0.265, 0.530, 0.110], [0.000, 0.000, 0.500], [0.265, 0.530, 0.390], [0.634, 0.267, 0.438], [0.634, 0.267, 0.062], [0.366, 0.733, 0.562], [0.366, 0.733, 0.938], [0.836, 0.673, 0.750], [0.164, 0.327, 0.250]],
  "total_energy_ev_per_atom": -4.473,
  "density_g_cm3": 5.16
}